A plane-wave DFT calculation with GGA-PBE was carried out for a geometry-optimized Sm6GaOs2Br3 structure.

Lattice parameters (Å, degrees): 7.1814 7.1814 8.0786 98.52 98.52 120.11
With the nearest neighbours (Å) after each atom.
Element x y z (fractional)
Sm  0.0776  0.4339  0.7998  2 Os 2.79, 1 Ga 2.99
Sm  0.2117  0.2117  0.2014  2 Os 2.79, 1 Ga 2.99
Sm  0.4339  0.0776  0.7998  2 Os 2.79, 1 Ga 2.99
Sm  0.5661  0.9224  0.2002  2 Os 2.79, 1 Ga 2.99
Sm  0.7883  0.7883  0.7986  2 Os 2.79, 1 Ga 2.99
Sm  0.9224  0.5661  0.2002  2 Os 2.79, 1 Ga 2.99
Ga  0.5000  0.5000  0.0000  6 Sm 2.99
Os  0.1661  0.8339  0.0000  6 Sm 2.79
Os  0.8339  0.1661  0.0000  6 Sm 2.79
Br  0.0000  0.0000  0.5000  6 Sm 3.21-3.39
Br  0.3334  0.6666  0.5000  6 Sm 3.21-3.39
Br  0.6666  0.3334  0.5000  6 Sm 3.21-3.39

Computed properties:
Its total magnetic moment is 0.00 μB per cell. The calculation puts the formation energy without anion corrections at -0.768 eV/atom. The symmetry is C2/m (12). The total energy comes out at -68.03 eV for the cell shown.